PmAlGa: optimized geometry, PBE-GGA.

Output
The value obtained for the total energy is -4.414 eV per atom. As for the space group: C2/m (12). The energy relative to the elements is -574 meV/atom. For the total moment, the calculation gives 0.0 μB per formula unit.

a = 4.356 Å, b = 5.861 Å, c = 6.040 Å
α = 74.60°, β = 68.86°, γ = 68.18°
Fractional coordinates of all 6 atoms:
Pm (0.561, 0.195, 0.684)
Pm (0.439, 0.805, 0.316)
Al (0.839, 0.226, 0.096)
Al (0.161, 0.774, 0.904)
Ga (0.167, 0.384, 0.282)
Ga (0.833, 0.616, 0.718)